CaGa2Au3: optimized geometry, GGA-PBE.

Lattice parameters (Å, degrees): 4.2369 8.9525 10.4149 106.11 90.00 103.69
Last column: nearest neighbours and their distance in Å.
Fractional coordinates of all 18 atoms:
Ca: 0.1550 0.3099 0.6976  6 Ga 3.20-3.38, 7 Au 3.31-3.58
Ca: 0.8450 0.6901 0.3024  6 Ga 3.20-3.38, 7 Au 3.31-3.58
Ca: 0.0000 0.0000 0.0000  6 Au 3.16-3.19, 6 Ga 3.37
Ga: 0.2013 0.4025 0.1276  6 Au 2.57-2.76
Ga: 0.7987 0.5975 0.8724  6 Au 2.57-2.76
Ga: 0.4634 0.9268 0.2276  5 Au 2.54-2.83
Ga: 0.5366 0.0732 0.7724  5 Au 2.54-2.83
Ga: 0.3625 0.7249 0.5488  7 Au 2.55-2.78
Ga: 0.6375 0.2751 0.4512  7 Au 2.55-2.78
Au: 0.0445 0.0890 0.3194  4 Ga 2.57-2.78
Au: 0.9555 0.9110 0.6806  4 Ga 2.57-2.78
Au: 0.2216 0.4433 0.3868  4 Ga 2.55-2.76
Au: 0.7784 0.5567 0.6132  4 Ga 2.55-2.76
Au: 0.6163 0.2326 0.1820  4 Ga 2.72-2.83, 3 Au 2.84-3.02
Au: 0.3837 0.7674 0.8180  4 Ga 2.72-2.83, 3 Au 2.84-3.02
Au: 0.5000 0.0000 0.5000  4 Ga 2.58-2.72
Au: 0.3288 0.6576 0.0500  4 Ga 2.54-2.76
Au: 0.6712 0.3424 0.9500  4 Ga 2.54-2.76

Ca2GaAu5: optimized geometry, GGA-PBE.

Lattice parameters (Å, degrees): 6.4923 6.4923 6.2742 121.16 121.16 90.00
Last column: nearest neighbours and their distance in Å.
Fractional coordinates of all 8 atoms:
Ca: 0.2482 0.7482 0.4964  10 Au 3.14-3.25
Ca: 0.7482 0.2482 0.4964  10 Au 3.14-3.25
Ga: 0.0516 0.0516 0.1031  5 Au 2.59-2.64
Au: 0.7192 0.2740 0.9932  1 Ga 2.59, 2 Au 2.89
Au: 0.2740 0.2740 0.9932  1 Ga 2.59, 2 Au 2.89
Au: 0.7192 0.7192 0.9932  1 Ga 2.59, 2 Au 2.89
Au: 0.2740 0.7192 0.9932  1 Ga 2.59, 2 Au 2.89
Au: 0.7427 0.7427 0.4854  1 Ga 2.64, 4 Au 2.93

Ca2Ga3Au5: optimized geometry, GGA-PBE.

Calculated values
offset from the most stable computed form: 0.048 eV/atom

Lattice parameters (Å, degrees): 4.2030 4.2030 11.9733 90.00 90.00 90.00
Last column: nearest neighbours and their distance in Å.
Fractional coordinates of all 10 atoms:
Ca: 0.5000 0.0000 0.2469  4 Au 3.15, 4 Ga 3.31
Ca: 0.0000 0.5000 0.7531  4 Au 3.15, 4 Ga 3.31
Ga: 0.5000 0.0000 0.6319  3 Au 2.49-2.63, 2 Ga 2.63
Ga: 0.0000 0.5000 0.3681  3 Au 2.49-2.63, 2 Ga 2.63
Ga: 0.0000 0.0000 0.5000  4 Ga 2.63
Au: 0.5000 0.5000 0.0000  8 Au 2.85-2.97
Au: 0.0000 0.0000 0.0000  8 Au 2.85-2.97
Au: 0.5000 0.0000 0.8396  1 Ga 2.49
Au: 0.0000 0.5000 0.1604  1 Ga 2.49
Au: 0.5000 0.5000 0.5000  4 Ga 2.63

CaGa3Au5: optimized geometry, GGA-PBE.

Lattice parameters (Å, degrees): 4.0347 7.0586 13.4606 90.00 90.00 106.61
Last column: nearest neighbours and their distance in Å.
Fractional coordinates of all 18 atoms:
Ca: 0.8130 0.6260 0.7500  8 Au 3.09-3.23, 1 Ga 3.14
Ca: 0.1870 0.3740 0.2500  8 Au 3.09-3.23, 1 Ga 3.14
Ga: 0.3411 0.6822 0.0009  4 Au 2.61-2.67
Ga: 0.9548 0.9095 0.2500  6 Au 2.58-2.67
Ga: 0.3411 0.6822 0.4991  4 Au 2.61-2.67
Ga: 0.6589 0.3178 0.5009  4 Au 2.61-2.67
Ga: 0.0452 0.0905 0.7500  6 Au 2.58-2.67
Ga: 0.6589 0.3178 0.9991  4 Au 2.61-2.67
Au: 0.8090 0.6181 0.3734  4 Ga 2.58-2.67
Au: 0.1910 0.3819 0.8734  4 Ga 2.58-2.67
Au: 0.0000 0.0000 0.5000  6 Au 2.84-3.09, 4 Ga 2.95
Au: 0.0000 0.0000 0.0000  6 Au 2.84-3.09, 4 Ga 2.95
Au: 0.5321 0.0642 0.1452  3 Ga 2.61-2.67, 3 Au 2.82-2.84
Au: 0.4679 0.9358 0.8548  3 Ga 2.61-2.67, 3 Au 2.82-2.84
Au: 0.4679 0.9358 0.6452  3 Ga 2.61-2.67, 3 Au 2.82-2.84
Au: 0.8090 0.6181 0.1266  4 Ga 2.58-2.67
Au: 0.1910 0.3819 0.6266  4 Ga 2.58-2.67
Au: 0.5321 0.0642 0.3548  3 Ga 2.61-2.67, 3 Au 2.82-2.84

Ca3Ga5Au12: optimized geometry, GGA-PBE.

Lattice parameters (Å, degrees): 13.7569 13.7569 13.7569 109.47 109.47 109.47
Last column: nearest neighbours and their distance in Å.
Fractional coordinates of all 80 atoms:
Ca: 0.7500 0.3750 0.1250  8 Au 2.96-2.98
Ca: 0.8750 0.7500 0.1250  8 Au 2.96-2.98
Ca: 0.3750 0.7500 0.6250  8 Au 2.96-2.98
Ca: 0.2500 0.1250 0.3750  8 Au 2.96-2.98
Ca: 0.8750 0.1250 0.2500  8 Au 2.96-2.98
Ca: 0.3750 0.6250 0.2500  8 Au 2.96-2.98
Ca: 0.6250 0.3750 0.7500  8 Au 2.96-2.98
Ca: 0.1250 0.8750 0.7500  8 Au 2.96-2.98
Ca: 0.7500 0.8750 0.6250  8 Au 2.96-2.98
Ca: 0.6250 0.2500 0.3750  8 Au 2.96-2.98
Ca: 0.1250 0.2500 0.8750  8 Au 2.96-2.98
Ca: 0.2500 0.6250 0.8750  8 Au 2.96-2.98
Ga: 0.1250 0.3750 0.2500  4 Au 2.56
Ga: 0.0000 0.5000 0.0000  6 Au 2.59
Ga: 0.0000 0.0000 0.0000  6 Au 2.59
Ga: 0.3750 0.2500 0.1250  4 Au 2.56
Ga: 0.5000 0.0000 0.5000  6 Au 2.59
Ga: 0.5000 0.5000 0.0000  6 Au 2.59
Ga: 0.1250 0.7500 0.3750  4 Au 2.56
Ga: 0.7500 0.1250 0.8750  4 Au 2.56
Ga: 0.7500 0.6250 0.3750  4 Au 2.56
Ga: 0.3750 0.1250 0.7500  4 Au 2.56
Ga: 0.6250 0.8750 0.2500  4 Au 2.56
Ga: 0.5000 0.5000 0.5000  6 Au 2.59
Ga: 0.5000 0.0000 0.0000  6 Au 2.59
Ga: 0.0000 0.0000 0.5000  6 Au 2.59
Ga: 0.2500 0.3750 0.6250  4 Au 2.56
Ga: 0.2500 0.8750 0.1250  4 Au 2.56
Ga: 0.0000 0.5000 0.5000  6 Au 2.59
Ga: 0.8750 0.2500 0.6250  4 Au 2.56
Ga: 0.6250 0.7500 0.8750  4 Au 2.56
Ga: 0.8750 0.6250 0.7500  4 Au 2.56
Au: 0.7139 0.1297 0.0474  2 Ga 2.56-2.59
Au: 0.3334 0.5474 0.4176  2 Ga 2.56-2.59
Au: 0.9526 0.3703 0.2861  2 Ga 2.56-2.59
Au: 0.5474 0.2139 0.1297  2 Ga 2.56-2.59
Au: 0.5842 0.7139 0.6666  2 Ga 2.56-2.59
Au: 0.9526 0.5824 0.1666  2 Ga 2.56-2.59
Au: 0.3334 0.7861 0.4158  2 Ga 2.56-2.59
Au: 0.0824 0.9158 0.1297  2 Ga 2.56-2.59
Au: 0.5824 0.9526 0.6666  2 Ga 2.56-2.59
Au: 0.7139 0.5842 0.1666  2 Ga 2.56-2.59
Au: 0.7861 0.4526 0.3703  2 Ga 2.56-2.59
Au: 0.8334 0.9176 0.0474  2 Ga 2.56-2.59
Au: 0.1297 0.7139 0.5474  2 Ga 2.56-2.59
Au: 0.3703 0.4176 0.0842  2 Ga 2.56-2.59
Au: 0.0842 0.9176 0.3703  2 Ga 2.56-2.59
Au: 0.4158 0.1297 0.5824  2 Ga 2.56-2.59
Au: 0.0842 0.1666 0.2139  2 Ga 2.56-2.59
Au: 0.4526 0.6666 0.0824  2 Ga 2.56-2.59
Au: 0.8334 0.9158 0.2861  2 Ga 2.56-2.59
Au: 0.1297 0.4158 0.0824  2 Ga 2.56-2.59
Au: 0.3703 0.9526 0.7861  2 Ga 2.56-2.59
Au: 0.5824 0.6297 0.4158  2 Ga 2.56-2.59
Au: 0.9176 0.8334 0.5474  2 Ga 2.56-2.59
Au: 0.7861 0.3334 0.9158  2 Ga 2.56-2.59
Au: 0.4176 0.3703 0.5842  2 Ga 2.56-2.59
Au: 0.0824 0.1666 0.4526  2 Ga 2.56-2.59
Au: 0.2139 0.6666 0.0842  2 Ga 2.56-2.59
Au: 0.1666 0.0842 0.7139  2 Ga 2.56-2.59
Au: 0.6297 0.0474 0.2139  2 Ga 2.56-2.59
Au: 0.8703 0.5842 0.9176  2 Ga 2.56-2.59
Au: 0.5474 0.3334 0.9176  2 Ga 2.56-2.59
Au: 0.5842 0.8703 0.4176  2 Ga 2.56-2.59
Au: 0.9158 0.8334 0.7861  2 Ga 2.56-2.59
Au: 0.9158 0.0824 0.6297  2 Ga 2.56-2.59
Au: 0.8703 0.2861 0.4526  2 Ga 2.56-2.59
Au: 0.1666 0.0824 0.9526  2 Ga 2.56-2.59
Au: 0.6297 0.5824 0.9158  2 Ga 2.56-2.59
Au: 0.4176 0.0474 0.3334  2 Ga 2.56-2.59
Au: 0.2861 0.4158 0.8334  2 Ga 2.56-2.59
Au: 0.2139 0.5474 0.6297  2 Ga 2.56-2.59
Au: 0.9176 0.0842 0.8703  2 Ga 2.56-2.59
Au: 0.6666 0.2139 0.5842  2 Ga 2.56-2.59
Au: 0.4526 0.7861 0.8703  2 Ga 2.56-2.59
Au: 0.0474 0.4176 0.8334  2 Ga 2.56-2.59
Au: 0.4158 0.2861 0.3334  2 Ga 2.56-2.59
Au: 0.0474 0.6297 0.7139  2 Ga 2.56-2.59
Au: 0.6666 0.4526 0.5824  2 Ga 2.56-2.59
Au: 0.2861 0.8703 0.9526  2 Ga 2.56-2.59

CaGaAu: optimized geometry, GGA-PBE.

Lattice parameters (Å, degrees): 3.5305 3.5305 5.8349 107.61 107.61 90.00
Last column: nearest neighbours and their distance in Å.
Fractional coordinates of all 3 atoms:
Ca: 0.6149 0.6149 0.2298  5 Au 3.20-3.27, 5 Ga 3.22-3.23, 4 Ca 3.53
Au: 0.9252 0.9252 0.8505  4 Ga 2.78
Ga: 0.3099 0.3099 0.6198  4 Au 2.78

| no. | DOS(E_F) (states/eV per atom) | raw total energy (eV/atom) | energy relative to the elements (eV/atom) |
| --- | --- | --- | --- |
| 1 | 0.351 | -3.47 | -0.492 |
| 2 | 0.351 | -3.44 | -0.517 |
| 3 | 0.235 | -3.44 | -0.492 |
| 4 | 0.364 | -3.41 | -0.362 |
| 5 | 0.200 | -3.24 | -0.219 |
| 6 | 0.416 | -3.29 | -0.517 |